A relaxed AlCrO2F crystal. Source: Alexandria, functional GGA+U.

The space group is P4/mmm (No. 123) and the conventional cell measures 3.7415, 3.7415 and 3.6099 Å, with angles of 90.00, 90.00 and 90.00 degrees. The inequivalent atoms are Al at (0.0000, 0.0000, 0.0000), Cr at (0.5000, 0.5000, 0.5000), O at (0.0000, 0.5000, 0.0000) and F at (0.0000, 0.0000, 0.5000).


A relaxed Ca3VF8 crystal. Source: Alexandria, functional GGA+U.

The space group is C222 (No. 21) and the conventional cell measures 5.9788, 10.7081 and 6.7227 Å, with angles of 90.00, 90.00 and 90.00 degrees. The inequivalent atoms are Ca at (0.0000, 0.0000, 0.0000), Ca at (0.2500, 0.2500, 0.7445), V at (0.0000, 0.0000, 0.5000), F at (0.0000, 0.1999, 0.5000), F at (0.0000, 0.2125, 0.0000) and F at (0.2297, 0.0340, 0.7388).


| no. | total magnetization (μB/f.u.) | uncorrected energy (eV for the cell shown) |
| --- | --- | --- |
| 1 | 4.00 | -33.7 |
| 2 | 3.00 | -141.4 |